No. 1
First-principles (GGA-PBEsol) data for a relaxed structure of Sb2AsSe, as listed in the Alexandria database.

Lattice parameters (Å, degrees): 5.0627 5.0627 5.0627 108.27 110.07 110.07
Atoms (fractional coordinates):
Sb (0.5000, 0.5000, 0.0000)
Sb (0.5000, 0.0000, 0.5000)
As (0.0000, 0.0000, 0.0000)
Se (0.0000, 0.5000, 0.5000)

Results
E above lowest polymorph (eV/atom): 0.056
Energy relative to the elements, uncorrected (meV per atom): 13

No. 2
First-principles (GGA-PBEsol) data for a relaxed structure of SbAsSe, as listed in the Alexandria database.

Lattice parameters (Å, degrees): 3.2387 3.2387 7.0247 97.86 97.86 114.00
Atoms (fractional coordinates):
Sb (0.3344, 0.3344, 0.6688)
As (0.0113, 0.0113, 0.0225)
Se (0.6544, 0.6544, 0.3087)

Results
E above lowest polymorph (eV/atom): 0.087
Energy relative to the elements, uncorrected (meV per atom): 279

No. 3
First-principles (GGA-PBEsol) data for a relaxed structure of Sb2AsSe, as listed in the Alexandria database.

Lattice parameters (Å, degrees): 4.2533 4.2533 6.7606 71.67 71.67 60.00
Atoms (fractional coordinates):
Sb (0.7463, 0.7463, 0.7612)
Sb (0.2537, 0.2537, 0.2388)
As (0.0000, 0.0000, 0.0000)
Se (0.5000, 0.5000, 0.5000)

Results
E above lowest polymorph (eV/atom): 0.000
Energy relative to the elements, uncorrected (meV per atom): -43

Calculated theoretical density, 6608; 7025; 6687 kg/m3 (same order as the records).
Calculated raw total energy, -0.1655; -0.1553; -0.1676 hartree per atom (same order as the records).